# 1
The following is a PBE calculation of an optimized crystal structure of GdLu2Co, from the Alexandria database.

Computed properties:
**Space group**: R-3m (166)
**Calculated total energy**: -7.57 eV/atom
**DOS at the Fermi energy**: 1.304 states/eV/atom
**Calculated volume**: 105 Å³/cell
**Energy of formation from the pure elements**: -0.016 eV/atom
**Energy above the lowest structure with this stoichiometry**: 0.105 eV/atom

abc: 9.4074 9.4074 9.4074
angles: 22.30 22.30 22.30
Last column: nearest neighbours and their distance in Å.
Element x y z (fractional)
Gd 0.0000 0.0000 0.0000  6 Gd 3.64, 6 Lu 3.70
Lu 0.2227 0.2227 0.2227  3 Co 2.61
Lu 0.7773 0.7773 0.7773  3 Co 2.61
Co 0.5000 0.5000 0.5000  6 Lu 2.61


# 2
The following is a PBE calculation of an optimized crystal structure of GdLuCo2, from the Alexandria database.

Computed properties:
**Space group**: P4/mmm (123)
**Calculated total energy**: -8.38 eV/atom
**DOS at the Fermi energy**: 0.379 states/eV/atom
**Calculated volume**: 73 Å³/cell
**Energy of formation from the pure elements**: -0.176 eV/atom

abc: 4.6857 4.6857 3.3236
angles: 90.00 90.00 90.00
Last column: nearest neighbours and their distance in Å.
Element x y z (fractional)
Gd 0.0000 0.0000 0.0000  8 Co 2.87
Lu 0.5000 0.5000 0.0000  8 Co 2.87
Co 0.0000 0.5000 0.5000  4 Gd 2.87, 4 Lu 2.87
Co 0.5000 0.0000 0.5000  4 Gd 2.87, 4 Lu 2.87


# 3
The following is a PBE calculation of an optimized crystal structure of GdLu3Co, from the Alexandria database.

Computed properties:
**Space group**: Pm-3m (221)
**Calculated total energy**: -7.03 eV/atom
**DOS at the Fermi energy**: 1.482 states/eV/atom
**Calculated volume**: 138 Å³/cell
**Energy of formation from the pure elements**: -0.080 eV/atom

abc: 5.1674 5.1674 5.1674
angles: 90.00 90.00 90.00
Last column: nearest neighbours and their distance in Å.
Element x y z (fractional)
Gd 0.0000 0.0000 0.0000  12 Lu 3.65
Lu 0.0000 0.5000 0.5000  2 Co 2.58
Lu 0.5000 0.0000 0.5000  2 Co 2.58
Lu 0.5000 0.5000 0.0000  2 Co 2.58
Co 0.5000 0.5000 0.5000  6 Lu 2.58


# 4
The following is a PBE calculation of an optimized crystal structure of GdLuMnCo, from the Alexandria database.

Computed properties:
**Space group**: F-43m (216)
**Calculated total energy**: -8.68 eV/atom
**DOS at the Fermi energy**: 1.147 states/eV/atom
**Calculated volume**: 80 Å³/cell
**Energy of formation from the pure elements**: 0.040 eV/atom

abc: 4.8427 4.8427 4.8427
angles: 60.00 60.00 60.00
Last column: nearest neighbours and their distance in Å.
Element x y z (fractional)
Gd 0.0000 0.0000 0.0000  4 Mn 2.97, 4 Co 2.97
Lu 0.5000 0.5000 0.5000  4 Mn 2.97, 4 Co 2.97
Mn 0.7500 0.7500 0.7500  4 Gd 2.97, 4 Lu 2.97
Co 0.2500 0.2500 0.2500  4 Lu 2.97, 4 Gd 2.97


# 5
The following is a PBE calculation of an optimized crystal structure of GdLuCoNi, from the Alexandria database.

Computed properties:
**Space group**: F-43m (216)
**Calculated total energy**: -8.15 eV/atom
**DOS at the Fermi energy**: 0.592 states/eV/atom
**Calculated volume**: 74 Å³/cell
**Energy of formation from the pure elements**: -0.282 eV/atom

abc: 4.7161 4.7161 4.7161
angles: 60.00 60.00 60.00
Last column: nearest neighbours and their distance in Å.
Element x y z (fractional)
Gd 0.0000 0.0000 0.0000  4 Co 2.89, 4 Ni 2.89
Lu 0.5000 0.5000 0.5000  4 Co 2.89, 4 Ni 2.89
Co 0.7500 0.7500 0.7500  4 Gd 2.89, 4 Lu 2.89
Ni 0.2500 0.2500 0.2500  4 Gd 2.89, 4 Lu 2.89


# 6
The following is a PBE calculation of an optimized crystal structure of GdLuCoRh, from the Alexandria database.

Computed properties:
**Space group**: F-43m (216)
**Calculated total energy**: -8.78 eV/atom
**DOS at the Fermi energy**: 0.512 states/eV/atom
**Calculated volume**: 76 Å³/cell
**Energy of formation from the pure elements**: -0.515 eV/atom

abc: 4.7635 4.7635 4.7635
angles: 60.00 60.00 60.00
Last column: nearest neighbours and their distance in Å.
Element x y z (fractional)
Gd 0.0000 0.0000 0.0000  4 Co 2.92, 4 Rh 2.92
Lu 0.5000 0.5000 0.5000  4 Co 2.92, 4 Rh 2.92
Co 0.7500 0.7500 0.7500  4 Gd 2.92, 4 Lu 2.92
Rh 0.2500 0.2500 0.2500  4 Gd 2.92, 4 Lu 2.92


# 7
The following is a PBE calculation of an optimized crystal structure of Gd2MgCo, from the Alexandria database.

Computed properties:
**Space group**: Fm-3m (225)
**Calculated total energy**: -9.21 eV/atom
**DOS at the Fermi energy**: 0.769 states/eV/atom
**Calculated volume**: 92 Å³/cell
**Energy of formation from the pure elements**: 0.002 eV/atom
**Energy above the lowest structure with this stoichiometry**: 0.117 eV/atom

abc: 5.0745 5.0745 5.0745
angles: 60.00 60.00 60.00
Last column: nearest neighbours and their distance in Å.
Element x y z (fractional)
Gd 0.2500 0.2500 0.2500  4 Co 3.11, 4 Mg 3.11
Gd 0.7500 0.7500 0.7500  4 Co 3.11, 4 Mg 3.11
Mg 0.0000 0.0000 0.0000  8 Gd 3.11
Co 0.5000 0.5000 0.5000  8 Gd 3.11


# 8
The following is a PBE calculation of an optimized crystal structure of GdMgCo, from the Alexandria database.

Computed properties:
**Space group**: I4mm (107)
**Calculated total energy**: -7.61 eV/atom
**DOS at the Fermi energy**: 0.594 states/eV/atom
**Calculated volume**: 62 Å³/cell
**Energy of formation from the pure elements**: -0.018 eV/atom

abc: 6.2053 6.2053 6.2053
angles: 149.43 149.43 43.79
Last column: nearest neighbours and their distance in Å.
Element x y z (fractional)
Gd 0.0000 0.0000 0.0000  4 Co 2.81, 1 Mg 3.08
Mg 0.2673 0.2673 0.0000  4 Co 2.75
Co 0.6387 0.6387 0.0000  4 Mg 2.75, 4 Gd 2.81